1.
Here is a relaxed structure of LiLu2Se from Alexandria via LeMat-Bulk. Energies are from PBE-GGA.

Values from the calculation:
* mass density: 6.34 Mg/m³
* space group: No. 166
* formation energy without anion corrections: -185 kJ/mol of formula units
* energy: -0.30061 Ry/atom

The structure in extended XYZ format:
```
4
Lattice="3.624 0.000 0.000 1.812 3.138 0.000 1.812 1.046 10.031" Properties=species:S:1:pos:R:3 pbc="T T T"
Lu 1.812 1.046 6.842
Lu 5.436 3.138 3.189
Se 3.624 2.092 5.015
Li 0.000 0.000 0.000
```


2.
Here is a relaxed structure of LiSmLuSi from Alexandria via LeMat-Bulk. Energies are from PBE-GGA.

Values from the calculation:
* mass density: 6.91 Mg/m³
* space group: No. 216
* formation energy without anion corrections: -129 kJ/mol of formula units
* energy: -0.32913 Ry/atom

The structure in extended XYZ format:
```
4
Lattice="-1.775 -4.232 1.899 1.444 -4.364 -1.881 2.974 -2.978 2.636" Properties=species:S:1:pos:R:3 pbc="T T T"
Si 0.661 -2.894 0.664
Lu 1.321 -5.787 1.327
Sm 0.000 0.000 0.000
Li 1.982 -8.681 1.991
```


3.
Here is a relaxed structure of LiTbLuSi from Alexandria via LeMat-Bulk. Energies are from PBE-GGA.

Values from the calculation:
* mass density: 7.28 Mg/m³
* space group: No. 216
* formation energy without anion corrections: -131 kJ/mol of formula units
* energy: -0.32792 Ry/atom

The structure in extended XYZ format:
```
4
Lattice="4.920 0.000 0.000 2.460 4.261 0.000 2.460 1.420 4.017" Properties=species:S:1:pos:R:3 pbc="T T T"
Si 0.000 0.000 0.000
Lu 7.380 4.261 3.013
Tb 2.460 1.420 1.004
Li 4.920 2.840 2.008
```


4.
Here is a relaxed structure of LiTmLuSi from Alexandria via LeMat-Bulk. Energies are from PBE-GGA.

Values from the calculation:
* mass density: 7.68 Mg/m³
* space group: No. 216
* formation energy without anion corrections: -127 kJ/mol of formula units
* energy: -0.32416 Ry/atom

The structure in extended XYZ format:
```
4
Lattice="-3.934 -1.147 -2.642 -0.269 -4.334 -2.217 -3.124 -3.376 1.618" Properties=species:S:1:pos:R:3 pbc="T T T"
Si -3.663 -4.429 -1.620
Lu -1.832 -2.214 -0.810
Tm -5.495 -6.643 -2.431
Li 0.000 0.000 0.000
```


5.
Here is a relaxed structure of LiLuZnSi from Alexandria via LeMat-Bulk. Energies are from PBE-GGA.

Values from the calculation:
* mass density: 6.33 Mg/m³
* space group: No. 216
* formation energy without anion corrections: -133 kJ/mol of formula units
* energy: -0.26661 Ry/atom

The structure in extended XYZ format:
```
4
Lattice="4.675 0.000 0.000 2.337 4.048 0.000 2.337 1.349 3.817" Properties=species:S:1:pos:R:3 pbc="T T T"
Zn 2.337 1.349 0.954
Lu 0.000 0.000 0.000
Si 7.012 4.048 2.863
Li 4.675 2.699 1.908
```


6.
Here is a relaxed structure of LiSmLu2 from Alexandria via LeMat-Bulk. Energies are from PBE-GGA.

Values from the calculation:
* energy relative to the elements: 84.1 meV/atom
* polymorph energy (0 for the lowest one): 0.000 eV per atom
* mass density: 7.57 Mg/m³
* space group: No. 123
* energy: -0.28184 Ry/atom

The structure in extended XYZ format:
```
4
Lattice="3.571 0.000 0.000 0.000 3.571 0.000 0.000 0.000 8.728" Properties=species:S:1:pos:R:3 pbc="T T T"
Lu 0.000 0.000 6.833
Lu 0.000 0.000 1.895
Sm 1.786 1.786 4.364
Li 1.786 1.786 0.000
```